Here is crystalline TiP2SI at its relaxed geometry from Alexandria. Energies are from PBE-GGA.

Summary:
* distance to the lowest polymorph of the same formula: 0.000 eV/f.u.
* raw total energy: -4.7166 eV/atom
* V: 111.0 Å³ per cell
* D(E_F): 4.3 states/eV/cell

POSCAR file:
```
TiP2SI
1.0
-4.510 -1.324 1.526
0.976 -4.696 -1.190
1.627 -0.722 4.182
I P S Ti
1 2 1 1
Direct
0.500 0.500 0.500
0.000 0.500 0.000
0.500 0.000 0.000
0.000 0.000 0.500
0.000 0.000 0.000
```

***

Here is crystalline InMo2Ru at its relaxed geometry from Alexandria. Energies are from PBE-GGA.

Summary:
* raw total energy: -8.2503 eV/atom
* V: 66.1 Å³ per cell
* DFT formation energy: 169 meV per atom
* D(E_F): 1.5 states/eV/cell

POSCAR file:
```
InMo2Ru
1.0
-0.764 -2.753 -0.105
2.722 -0.738 -0.466
1.193 -0.635 7.976
In Mo Ru
1 2 1
Direct
0.500 0.500 0.750
0.000 0.000 0.026
0.000 0.000 0.474
0.500 0.500 0.250
```